Version a
Here is an optimized crystal structure of TbPm3Dy3 from Alexandria. Energies are from GGA-PBE.

## Properties
Fermi-level density of states ... 1.535 states/eV per atom
Magnetic moment ... 0.0000 μB per atom
Crystal system ... trigonal
Symmetry ... R-3 (148)

Structure (POSCAR):
```
TbPm3Dy3
1.0
3.111 1.796 14.392
-3.111 1.796 14.392
0.000 -3.593 14.392
Tb Pm Dy
2 6 6
direct
0.167 0.167 0.167
0.833 0.833 0.833
0.037 0.700 0.369
0.300 0.631 0.963
0.369 0.037 0.700
0.631 0.963 0.300
0.700 0.369 0.037
0.963 0.300 0.631
0.101 0.435 0.768
0.232 0.899 0.565
0.435 0.768 0.101
0.565 0.232 0.899
0.768 0.101 0.435
0.899 0.565 0.232
```

=====

Version b
Here is an optimized crystal structure of TbPm3Dy3 from Alexandria. Energies are from GGA-PBE.

## Properties
Fermi-level density of states ... 1.800 states/eV per atom
Magnetic moment ... 0.0000 μB per atom
Crystal system ... hexagonal
Symmetry ... P6_3/m (176)

Structure (POSCAR):
```
TbPm3Dy3
1.0
9.641 0.000 0.000
-4.820 8.349 0.000
0.000 0.000 5.755
Tb Pm Dy
2 6 6
direct
0.333 0.667 0.250
0.667 0.333 0.750
0.049 0.807 0.250
0.193 0.241 0.250
0.241 0.049 0.750
0.759 0.951 0.250
0.807 0.759 0.750
0.951 0.193 0.750
0.095 0.617 0.750
0.383 0.478 0.750
0.478 0.095 0.250
0.522 0.905 0.750
0.617 0.522 0.250
0.905 0.383 0.250
```

=====

version b wins, 140 meV/atom ahead of the next structure.

=====

Version a
Here is an optimized crystal structure of Tb4Pm4Dy3 from Alexandria. Energies are from GGA-PBE.

## Properties
Fermi-level density of states ... 1.322 states/eV per atom
Magnetic moment ... 0.0000 μB per atom
Crystal system ... orthorhombic
Symmetry ... Immm (71)

Structure (POSCAR):
```
Tb4Pm4Dy3
1.0
-1.781 5.659 9.172
1.781 -5.659 9.172
1.781 5.659 -9.172
Tb Pm Dy
4 4 3
direct
0.075 0.829 0.245
0.416 0.171 0.245
0.584 0.829 0.755
0.925 0.171 0.755
0.217 0.717 0.500
0.288 0.000 0.288
0.712 0.000 0.712
0.783 0.283 0.500
0.000 0.500 0.500
0.393 0.393 0.000
0.607 0.607 0.000
```

=====

Version b
Here is an optimized crystal structure of Tb4Pm4Dy3 from Alexandria. Energies are from GGA-PBE.

## Properties
Fermi-level density of states ... 1.646 states/eV per atom
Magnetic moment ... 0.0000 μB per atom
Crystal system ... triclinic
Symmetry ... P-1 (2)

Structure (POSCAR):
```
Tb4Pm4Dy3
1.0
3.534 0.000 0.000
-0.001 5.671 0.000
-1.764 -2.828 17.891
Tb Pm Dy
4 4 3
direct
0.045 0.046 0.091
0.180 0.680 0.361
0.820 0.320 0.639
0.955 0.954 0.909
0.090 0.591 0.181
0.233 0.233 0.465
0.767 0.767 0.535
0.910 0.409 0.819
0.365 0.864 0.728
0.500 0.500 0.000
0.635 0.136 0.272
```

=====

version b wins, 119 meV/atom ahead of the next structure.

=====

Version a
Here is an optimized crystal structure of TbPmDyY from Alexandria. Energies are from GGA-PBE.

## Properties
Fermi-level density of states ... 1.431 states/eV per atom
Magnetic moment ... 0.0000 μB per atom
Crystal system ... tetragonal
Symmetry ... I-4m2 (119)

Structure (POSCAR):
```
TbPmDyY
1.0
-2.536 2.536 5.049
2.536 -2.536 5.049
2.536 2.536 -5.049
Tb Pm Dy Y
1 1 1 1
direct
0.000 0.000 0.000
0.250 0.750 0.500
0.500 0.500 0.000
0.750 0.250 0.500
```

=====

Version b
Here is an optimized crystal structure of TbPmDyY from Alexandria. Energies are from GGA-PBE.

## Properties
Fermi-level density of states ... 2.276 states/eV per atom
Magnetic moment ... 0.0005 μB per atom
Crystal system ... cubic
Symmetry ... F-43m (216)

Structure (POSCAR):
```
TbPmDyY
1.0
0.000 4.038 4.038
4.038 0.000 4.038
4.038 4.038 0.000
Tb Pm Dy Y
1 1 1 1
direct
0.000 0.000 0.000
0.500 0.500 0.500
0.750 0.750 0.750
0.250 0.250 0.250
```

=====

version a wins, 113 meV/atom ahead of the next structure.

=====

Version a
Here is an optimized crystal structure of PmDy3Tc from Alexandria. Energies are from GGA-PBE.

## Properties
Fermi-level density of states ... 1.007 states/eV per atom
Magnetic moment ... 0.0000 μB per atom
Crystal system ... monoclinic
Symmetry ... P2_1/m (11)

Structure (POSCAR):
```
PmDy3Tc
1.0
8.682 0.000 0.000
0.000 3.796 0.000
-1.808 0.000 8.554
Pm Dy Tc
2 6 2
direct
0.169 0.250 0.012
0.831 0.750 0.988
0.026 0.750 0.664
0.341 0.750 0.389
0.423 0.750 0.817
0.577 0.250 0.183
0.659 0.250 0.611
0.974 0.250 0.336
0.263 0.250 0.599
0.737 0.750 0.401
```

=====

Version b
Here is an optimized crystal structure of PmDy3Tc from Alexandria. Energies are from GGA-PBE.

## Properties
Fermi-level density of states ... 1.715 states/eV per atom
Magnetic moment ... 0.0725 μB per atom
Crystal system ... cubic
Symmetry ... Pm-3m (221)

Structure (POSCAR):
```
PmDy3Tc
1.0
5.390 0.000 0.000
0.000 5.390 0.000
0.000 0.000 5.390
Pm Dy Tc
1 3 1
direct
0.000 0.000 0.000
0.000 0.500 0.500
0.500 0.000 0.500
0.500 0.500 0.000
0.500 0.500 0.500
```

=====

version a wins, 185 meV/atom ahead of the next structure.

=====

Version a
Here is an optimized crystal structure of Pm3DyTc from Alexandria. Energies are from GGA-PBE.

## Properties
Fermi-level density of states ... 1.553 states/eV per atom
Magnetic moment ... 0.0014 μB per atom
Crystal system ... cubic
Symmetry ... Pm-3m (221)

Structure (POSCAR):
```
Pm3DyTc
1.0
5.480 0.000 0.000
0.000 5.480 0.000
0.000 0.000 5.480
Pm Dy Tc
3 1 1
direct
0.000 0.000 0.500
0.000 0.500 0.000
0.500 0.000 0.000
0.500 0.500 0.500
0.000 0.000 0.000
```

=====

Version b
Here is an optimized crystal structure of Pm3DyTc from Alexandria. Energies are from GGA-PBE.

## Properties
Fermi-level density of states ... 0.972 states/eV per atom
Magnetic moment ... 0.0000 μB per atom
Crystal system ... monoclinic
Symmetry ... Cm (8)

Structure (POSCAR):
```
Pm3DyTc
1.0
6.146 -1.984 0.000
6.146 1.984 0.000
-5.037 0.000 12.158
Pm Dy Tc
6 2 2
direct
0.000 0.000 0.000
0.017 0.017 0.375
0.327 0.327 0.762
0.353 0.353 0.130
0.685 0.685 0.237
0.792 0.792 0.517
0.546 0.546 0.621
0.665 0.665 0.894
0.356 0.356 0.380
0.995 0.995 0.764
```

=====

version b wins, 209 meV/atom ahead of the next structure.

=====

Version a
Here is an optimized crystal structure of PmDyTc from Alexandria. Energies are from GGA-PBE.

## Properties
Fermi-level density of states ... 1.079 states/eV per atom
Magnetic moment ... 0.0000 μB per atom
Crystal system ... orthorhombic
Symmetry ... Immm (71)

Structure (POSCAR):
```
PmDyTc
1.0
-1.682 3.024 7.816
1.682 -3.024 7.816
1.682 3.024 -7.816
Pm Dy Tc
2 2 2
direct
0.113 0.113 0.000
0.887 0.887 0.000
0.328 0.328 0.000
0.672 0.672 0.000
0.307 0.500 0.807
0.693 0.500 0.193
```

=====

Version b
Here is an optimized crystal structure of PmDyTc from Alexandria. Energies are from GGA-PBE.

## Properties
Fermi-level density of states ... 1.351 states/eV per atom
Magnetic moment ... 0.0000 μB per atom
Crystal system ... tetragonal
Symmetry ... I4mm (107)

Structure (POSCAR):
```
PmDyTc
1.0
-1.748 1.748 6.393
1.748 -1.748 6.393
1.748 1.748 -6.393
Pm Dy Tc
1 1 1
direct
0.000 0.000 0.000
0.258 0.258 0.000
0.633 0.633 0.000
```

=====

version b wins, 249 meV/atom ahead of the next structure.

=====

Version a
Here is an optimized crystal structure of PmDy2Te4 from Alexandria. Energies are from GGA-PBE.

## Properties
Fermi-level density of states ... 0.432 states/eV per atom
Magnetic moment ... 0.0000 μB per atom
Crystal system ... monoclinic
Symmetry ... C2/m (12)

Structure (POSCAR):
```
PmDy2Te4
1.0
8.291 -2.189 0.000
8.291 2.189 0.000
-3.423 0.000 6.771
Pm Dy Te
1 2 4
direct
0.000 0.000 0.000
0.255 0.255 0.268
0.745 0.745 0.732
0.125 0.125 0.458
0.367 0.367 0.030
0.633 0.633 0.970
0.875 0.875 0.542
```

=====

Version b
Here is an optimized crystal structure of PmDy2Te4 from Alexandria. Energies are from GGA-PBE.

## Properties
Fermi-level density of states ... 0.391 states/eV per atom
Magnetic moment ... 0.0000 μB per atom
Crystal system ... orthorhombic
Symmetry ... Cmcm (63)

Structure (POSCAR):
```
PmDy2Te4
1.0
2.143 -7.179 0.000
2.143 7.179 0.000
0.000 0.000 14.998
Pm Dy Te
2 4 8
direct
0.126 0.874 0.750
0.874 0.126 0.250
0.369 0.631 0.568
0.369 0.631 0.932
0.631 0.369 0.068
0.631 0.369 0.432
0.000 0.000 0.000
0.000 0.000 0.500
0.277 0.723 0.121
0.277 0.723 0.379
0.463 0.537 0.750
0.537 0.463 0.250
0.723 0.277 0.621
0.723 0.277 0.879
```

=====

version a wins, 18 meV/atom ahead of the next structure.

=====

Version a
Here is an optimized crystal structure of PmDyTe from Alexandria. Energies are from GGA-PBE.

## Properties
Fermi-level density of states ... 1.138 states/eV per atom
Magnetic moment ... 0.0002 μB per atom
Crystal system ... monoclinic
Symmetry ... C2/m (12)

Structure (POSCAR):
```
PmDyTe
1.0
8.374 -2.023 0.000
8.374 2.023 0.000
-0.640 0.000 11.185
Pm Dy Te
4 4 4
direct
0.024 0.024 0.352
0.385 0.385 0.161
0.615 0.615 0.839
0.976 0.976 0.648
0.191 0.191 0.079
0.251 0.251 0.664
0.749 0.749 0.336
0.809 0.809 0.921
0.381 0.381 0.458
0.426 0.426 0.841
0.574 0.574 0.159
0.619 0.619 0.542
```

=====

Version b
Here is an optimized crystal structure of PmDyTe from Alexandria. Energies are from GGA-PBE.

## Properties
Fermi-level density of states ... 0.988 states/eV per atom
Magnetic moment ... 0.0000 μB per atom
Crystal system ... trigonal
Symmetry ... P3m1 (156)

Structure (POSCAR):
```
PmDyTe
1.0
5.193 0.000 0.000
-2.597 4.498 0.000
0.000 0.000 4.072
Pm Dy Te
1 1 1
direct
0.000 0.000 0.000
0.667 0.333 0.512
0.333 0.667 0.694
```

=====

Version c
Here is an optimized crystal structure of PmDyTe from Alexandria. Energies are from GGA-PBE.

## Properties
Fermi-level density of states ... 0.810 states/eV per atom
Magnetic moment ... 0.0000 μB per atom
Crystal system ... monoclinic
Symmetry ... P2_1/c (14)

Structure (POSCAR):
```
PmDyTe
1.0
9.213 0.000 0.000
0.000 6.236 0.000
-2.102 0.000 5.873
Pm Dy Te
4 4 4
direct
0.000 0.249 0.249
0.000 0.251 0.749
0.000 0.749 0.251
0.000 0.751 0.751
0.360 0.000 0.179
0.360 0.500 0.679
0.640 0.000 0.821
0.640 0.500 0.321
0.284 0.000 0.642
0.284 0.500 0.142
0.716 0.000 0.358
0.716 0.500 0.858
```

=====

version c wins, 79 meV/atom ahead of the next structure.

=====

Version a
Here is an optimized crystal structure of Pm3DyTe4 from Alexandria. Energies are from GGA-PBE.

## Properties
Fermi-level density of states ... 0.628 states/eV per atom
Magnetic moment ... 0.0000 μB per atom
Crystal system ... orthorhombic
Symmetry ... Cmmm (65)

Structure (POSCAR):
```
Pm3DyTe4
1.0
4.493 -6.278 0.000
4.493 6.278 0.000
0.000 0.000 4.383
Pm Dy Te
3 1 4
direct
0.000 0.000 0.000
0.000 0.500 0.500
0.500 0.000 0.500
0.500 0.500 0.000
0.253 0.747 0.000
0.257 0.257 0.500
0.743 0.743 0.500
0.747 0.253 0.000
```

=====

Version b
Here is an optimized crystal structure of Pm3DyTe4 from Alexandria. Energies are from GGA-PBE.

## Properties
Fermi-level density of states ... 0.635 states/eV per atom
Magnetic moment ... 0.0000 μB per atom
Crystal system ... hexagonal
Symmetry ... P6_3/mmc (194)

Structure (POSCAR):
```
Pm3DyTe4
1.0
4.333 0.000 0.000
-2.166 3.752 0.000
0.000 0.000 30.472
Pm Dy Te
6 2 8
direct
0.000 0.000 0.000
0.000 0.000 0.500
0.333 0.667 0.125
0.333 0.667 0.375
0.667 0.333 0.625
0.667 0.333 0.875
0.333 0.667 0.750
0.667 0.333 0.250
0.000 0.000 0.189
0.000 0.000 0.311
0.000 0.000 0.689
0.000 0.000 0.811
0.333 0.667 0.563
0.333 0.667 0.937
0.667 0.333 0.063
0.667 0.333 0.437
```

=====

version a wins, 18 meV/atom ahead of the next structure.

=====

Version a
Here is an optimized crystal structure of PmDyTe2 from Alexandria. Energies are from GGA-PBE.

## Properties
Fermi-level density of states ... 0.886 states/eV per atom
Magnetic moment ... 0.1664 μB per atom
Crystal system ... tetragonal
Symmetry ... P4/mmm (123)

Structure (POSCAR):
```
PmDyTe2
1.0
5.399 0.000 0.000
0.000 5.399 0.000
0.000 0.000 3.816
Pm Dy Te
1 1 2
direct
0.000 0.000 0.000
0.500 0.500 0.000
0.000 0.500 0.500
0.500 0.000 0.500
```

=====

Version b
Here is an optimized crystal structure of PmDyTe2 from Alexandria. Energies are from GGA-PBE.

## Properties
Fermi-level density of states ... 0.470 states/eV per atom
Magnetic moment ... 0.0000 μB per atom
Crystal system ... trigonal
Symmetry ... R-3m (166)

Structure (POSCAR):
```
PmDyTe2
1.0
2.157 1.246 9.747
-2.157 1.246 9.747
0.000 -2.491 9.747
Pm Dy Te
1 1 2
direct
0.000 0.000 0.000
0.500 0.500 0.500
0.398 0.398 0.398
0.602 0.602 0.602
```

=====

Version c
Here is an optimized crystal structure of PmDyTe2 from Alexandria. Energies are from GGA-PBE.

## Properties
Fermi-level density of states ... 0.523 states/eV per atom
Magnetic moment ... 0.0000 μB per atom
Crystal system ... orthorhombic
Symmetry ... Pmn2_1 (31)

Structure (POSCAR):
```
PmDyTe2
1.0
4.523 0.000 0.000
0.000 9.850 0.000
0.000 0.000 6.946
Pm Dy Te
2 2 4
direct
0.000 0.085 0.000
0.500 0.915 0.500
0.000 0.671 0.847
0.500 0.329 0.347
0.000 0.411 0.094
0.000 0.819 0.220
0.500 0.181 0.720
0.500 0.589 0.594
```

=====

version a wins, 272 meV/atom ahead of the next structure.

=====

Version a
Here is an optimized crystal structure of PmDyTe2 from Alexandria. Energies are from GGA-PBE.

## Properties
Fermi-level density of states ... 0.862 states/eV per atom
Magnetic moment ... 0.1924 μB per atom
Crystal system ... cubic
Symmetry ... Fm-3m (225)

Structure (POSCAR):
```
PmDyTe2
1.0
0.000 3.817 3.817
3.817 0.000 3.817
3.817 3.817 0.000
Pm Dy Te
1 1 2
direct
0.000 0.000 0.000
0.500 0.500 0.500
0.250 0.250 0.250
0.750 0.750 0.750
```

=====

Version b
Here is an optimized crystal structure of PmDyTe2 from Alexandria. Energies are from GGA-PBE.

## Properties
Fermi-level density of states ... 0.346 states/eV per atom
Magnetic moment ... 0.0000 μB per atom
Crystal system ... trigonal
Symmetry ... R3m (160)

Structure (POSCAR):
```
PmDyTe2
1.0
2.140 1.236 7.676
-2.140 1.236 7.676
0.000 -2.471 7.676
Pm Dy Te
1 1 2
direct
0.000 0.000 0.000
0.826 0.826 0.826
0.243 0.243 0.243
0.416 0.416 0.416
```

=====

version b wins, 148 meV/atom ahead of the next structure.